Record 1
DFT (PBE) results for a relaxed Pu7BiI12 crystal.

The structure in POSCAR format:
```
Pu7BiI12
1.0
-8.0740 -5.9999 -0.3964
7.0056 -3.8962 -6.0898
3.5941 -0.3286 9.3979
Pu Bi I
7 1 12
direct
0.9594 0.6537 0.8847
0.3463 0.1153 0.0406
0.1153 0.0406 0.3463
0.5000 0.5000 0.5000
0.8847 0.9594 0.6537
0.6537 0.8847 0.9594
0.0406 0.3463 0.1153
0.0000 0.0000 0.0000
0.9228 0.3079 0.7704
0.6921 0.2296 0.0772
0.4639 0.1556 0.3883
0.8444 0.6117 0.5361
0.2296 0.0772 0.6921
0.6117 0.5361 0.8444
0.3883 0.4639 0.1556
0.7704 0.9228 0.3079
0.1556 0.3883 0.4639
0.5361 0.8444 0.6117
0.3079 0.7704 0.9228
0.0772 0.6921 0.2296
```

Values from the calculation:
D(E_F) in states/eV/atom: 4.4460
Mass density in g/cm3: 6.85
Formation energy from raw total energies in eV per atom: -0.9786

Record 2
DFT (PBE) results for a relaxed K2La2Br7 crystal.

The structure in POSCAR format:
```
K2La2Br7
1.0
-4.0780 -6.3755 -2.1347
5.9921 -2.7168 -3.3128
2.8016 -3.7006 5.7199
K La Br
2 2 7
direct
0.5000 0.7553 0.2447
0.5000 0.2447 0.7553
0.9985 0.7216 0.7216
0.0015 0.2784 0.2784
0.2464 0.0001 0.5013
0.7536 0.4987 0.9999
0.7536 0.9999 0.4987
0.2464 0.5013 0.0001
0.0000 0.0000 0.0000
0.7703 0.4992 0.4992
0.2297 0.5008 0.5008
```

Values from the calculation:
D(E_F) in states/eV/atom: 0.7157
Mass density in g/cm3: 3.60
Formation energy from raw total energies in eV per atom: -1.7885

Record 3
DFT (PBE) results for a relaxed Tl2HSeI crystal.

The structure in POSCAR format:
```
Tl2HSeI
1.0
4.9425 0.0000 0.0000
0.0000 7.0428 -0.1278
0.0000 -3.1943 9.1834
Tl H Se I
4 2 2 2
direct
0.7500 0.7354 0.5589
0.7500 0.7370 0.9930
0.2500 0.2646 0.4411
0.2500 0.2630 0.0070
0.2500 0.5692 0.7811
0.7500 0.4308 0.2189
0.2500 0.7855 0.7912
0.7500 0.2145 0.2088
0.2500 0.7577 0.2895
0.7500 0.2423 0.7105
```

Values from the calculation:
D(E_F) in states/eV/atom: 0.0000
Mass density in g/cm3: 6.44
Electronic total energy in eV per atom: -3.0001

Record 4
DFT (PBE) results for a relaxed NiRu7 crystal.

The structure in POSCAR format:
```
NiRu7
1.0
0.0000 3.7967 3.7967
3.7967 0.0000 3.7967
3.7967 3.7967 0.0000
Ni Ru
1 7
direct
0.0000 0.0000 0.0000
0.0000 0.5000 0.5000
0.5000 0.0000 0.5000
0.5000 0.5000 0.0000
0.0000 0.0000 0.5000
0.0000 0.5000 0.0000
0.5000 0.0000 0.0000
0.5000 0.5000 0.5000
```

Values from the calculation:
D(E_F) in states/eV/atom: 1.3118
Mass density in g/cm3: 11.62
Electronic total energy in eV per atom: -8.6767

Record 5
DFT (PBE) results for a relaxed MnReTc2 crystal.

The structure in POSCAR format:
```
MnReTc2
1.0
-0.4086 3.0670 -0.1281
-2.9189 -0.3482 0.9738
1.8089 0.4745 5.5916
Mn Re Tc
1 1 2
direct
0.0000 0.0000 0.4942
0.5000 0.5000 0.7353
0.0000 0.0000 0.9954
0.5000 0.5000 0.2751
```

Values from the calculation:
D(E_F) in states/eV/atom: 0.8189
Mass density in g/cm3: 12.84
Electronic total energy in eV per atom: -10.4540

Record 6
DFT (PBE) results for a relaxed Rb2GeRhAu crystal.

The structure in POSCAR format:
```
Rb2GeRhAu
1.0
-0.3475 3.7342 -4.9563
-4.6142 -1.7762 -1.0147
-2.4949 4.4611 3.5361
Rh Ge Au Rb
1 1 1 2
direct
0.0000 0.0000 0.0000
0.5000 0.5000 0.5000
0.0000 0.5000 0.0000
0.0000 0.0000 0.5000
0.5000 0.0000 0.0000
```

Values from the calculation:
D(E_F) in states/eV/atom: 1.5709
Mass density in g/cm3: 4.63
Electronic total energy in eV per atom: -2.6398

Record 7
DFT (PBE) results for a relaxed Nd6Sb4As crystal.

The structure in POSCAR format:
```
Nd6Sb4As
1.0
8.8776 0.0011 -0.0757
0.0751 8.8772 -0.0757
-0.0011 -0.0011 8.8779
Nd Sb As
12 8 2
direct
0.6937 0.0587 0.0772
0.0772 0.3063 0.0587
0.5772 0.4413 0.1937
0.9413 0.0772 0.6937
0.5587 0.1937 0.5772
0.1937 0.4228 0.4413
0.8063 0.5772 0.5587
0.4413 0.8063 0.4228
0.0587 0.9228 0.3063
0.4228 0.5587 0.8063
0.9228 0.6937 0.9413
0.3063 0.9413 0.9228
0.3711 0.1289 0.2500
0.8711 0.2500 0.3711
0.2500 0.6289 0.1289
0.2500 0.2500 0.7500
0.7500 0.7500 0.2500
0.7500 0.3711 0.8711
0.1289 0.7500 0.6289
0.6289 0.8711 0.7500
0.5000 0.5000 0.5000
0.0000 0.0000 0.0000
```

Values from the calculation:
D(E_F) in states/eV/atom: 0.8646
Mass density in g/cm3: 6.78
Formation energy from raw total energies in eV per atom: -1.0411

Record 8
DFT (PBE) results for a relaxed PmEuCuSi crystal.

The structure in POSCAR format:
```
PmEuCuSi
1.0
5.1121 0.0000 0.0000
2.5560 4.4272 0.0000
2.5560 1.4757 4.1740
Eu Si Cu Pm
1 1 1 1
direct
0.7500 0.7500 0.7500
0.5000 0.5000 0.5000
0.0000 0.0000 0.0000
0.2500 0.2500 0.2500
```

Values from the calculation:
D(E_F) in states/eV/atom: 1.8445
Mass density in g/cm3: 6.83
Formation energy from raw total energies in eV per atom: -0.3404

Which formula does entry 3 have?
Tl2HSeI

Look up the D(E_F) of the sixth one.
1.5709 states/eV/atom

Which value of D(E_F) does entry 7 give?
0.8646 states/eV/atom

Which of these has the highest D(E_F)?
Pu7BiI12